The following is a PBE calculation of LaPr5HoEr2 after structural relaxation, from Alexandria via LeMat-Bulk.

total magnetic moment: 0.00 μB per cell
VASP energy: -4.577 eV per atom

Cell: 5.752 20.477 10.722 Å, 90.00 90.00 90.00°
Space group Cmc2_1 (No. 36)
Inequivalent atoms, fractional coordinates:
La1 0.000 0.085 0.000
Pr1 0.000 0.020 0.290
Pr2 0.000 0.116 0.572
Pr3 0.000 0.204 0.254
Pr4 0.000 0.220 0.863
Pr5 0.000 0.483 0.570
Ho1 0.000 0.302 0.560
Er1 0.000 0.384 0.866
Er2 0.000 0.386 0.283

The following is a PBE calculation of La2Pr4Ho2Er after structural relaxation, from Alexandria via LeMat-Bulk.

total magnetic moment: 0.00 μB per cell
VASP energy: -4.716 eV per atom

Cell: 15.588 5.201 8.134 Å, 90.00 108.66 90.00°
Space group C2/m (No. 12)
Inequivalent atoms, fractional coordinates:
La1 0.111 0.000 0.172
Pr1 0.055 0.500 0.830
Pr2 0.220 0.000 0.828
Ho1 0.166 0.500 0.500
Er1 0.000 0.000 0.500

The following is a PBE calculation of La2PrHo3Er6 after structural relaxation, from Alexandria via LeMat-Bulk.

total magnetic moment: 0.00 μB per cell
VASP energy: -4.620 eV per atom

Cell: 6.193 10.723 11.776 Å, 90.00 100.08 90.00°
Space group C2/m (No. 12)
Inequivalent atoms, fractional coordinates:
La1 0.000 0.167 0.000
Pr1 0.000 0.500 0.000
Ho1 0.000 0.000 0.500
Ho2 0.000 0.333 0.500
Er1 0.247 0.500 0.744
Er2 0.248 0.166 0.744

The following is a PBE calculation of LaPr6Ho2Er after structural relaxation, from Alexandria via LeMat-Bulk.

total magnetic moment: 0.00 μB per cell
VASP energy: -4.620 eV per atom

Cell: 9.423 15.343 9.777 Å, 90.00 97.01 90.00°
Space group C2/c (No. 15)
Inequivalent atoms, fractional coordinates:
La1 0.000 0.030 0.250
Pr1 0.063 0.179 0.944
Pr2 0.095 0.392 0.117
Pr3 0.216 0.223 0.314
Ho1 0.249 0.451 0.450
Er1 0.000 0.411 0.750

The following is a PBE calculation of LaPr2Ho4Er after structural relaxation, from Alexandria via LeMat-Bulk.

total magnetic moment: 0.00 μB per cell
VASP energy: -4.650 eV per atom

Cell: 7.232 7.245 10.042 Å, 89.98 89.95 89.68°
Space group P-1 (No. 2)
Inequivalent atoms, fractional coordinates:
La1 0.000 0.000 0.000
La2 0.000 0.500 0.000
Pr1 0.000 0.000 0.500
Pr2 0.500 0.000 0.000
Pr3 0.500 0.000 0.500
Pr4 0.500 0.500 0.500
Ho1 0.250 0.253 0.251
Ho2 0.250 0.253 0.749
Ho3 0.251 0.747 0.251
Ho4 0.251 0.747 0.749
Er1 0.000 0.500 0.500
Er2 0.500 0.500 0.000

The following is a PBE calculation of La2PrHo5Er after structural relaxation, from Alexandria via LeMat-Bulk.

total magnetic moment: 0.00 μB per cell
VASP energy: -4.419 eV per atom

Cell: 8.702 8.702 15.735 Å, 90.00 90.00 90.00°
Space group I4/mcm (No. 140)
Inequivalent atoms, fractional coordinates:
La1 0.117 0.383 0.000
Pr1 0.000 0.000 0.250
Ho1 0.000 0.000 0.000
Ho2 0.215 0.285 0.359
Er1 0.000 0.500 0.250

The following is a PBE calculation of La2Pr4HoEr2 after structural relaxation, from Alexandria via LeMat-Bulk.

total magnetic moment: 0.00 μB per cell
VASP energy: -4.714 eV per atom

Cell: 15.590 5.199 8.129 Å, 90.00 108.71 90.00°
Space group C2/m (No. 12)
Inequivalent atoms, fractional coordinates:
La1 0.111 0.000 0.172
Pr1 0.055 0.500 0.830
Pr2 0.220 0.000 0.828
Ho1 0.000 0.000 0.500
Er1 0.167 0.500 0.500

The following is a PBE calculation of LaPrHoEr3 after structural relaxation, from Alexandria via LeMat-Bulk.

total magnetic moment: 0.00 μB per cell
VASP energy: -4.556 eV per atom

Cell: 5.865 11.476 11.740 Å, 90.00 90.00 90.00°
Space group Cmcm (No. 63)
Inequivalent atoms, fractional coordinates:
La1 0.000 0.001 0.250
Pr1 0.000 0.500 0.000
Ho1 0.000 0.325 0.250
Er1 0.000 0.175 0.501
Er2 0.000 0.327 0.750